Entry from Alexandria via LeMat-Bulk: crystalline PmInSbAu at its relaxed geometry (PBE).

Properties
**E**: -16.7 eV per formula unit
**Uncorrected formation energy**: -0.445 eV per atom
**Crystal system**: cubic

a = 7.4688 Å, b = 7.4688 Å, c = 7.4688 Å
α = 90.00°, β = 90.00°, γ = 90.00°
Fractional positions:
Pm1 0.0000 0.0000 0.0000
Pm2 0.0000 0.5000 0.5000
Pm3 0.5000 0.0000 0.5000
Pm4 0.5000 0.5000 0.0000
In1 0.0000 0.0000 0.5000
In2 0.0000 0.5000 0.0000
In3 0.5000 0.0000 0.0000
In4 0.5000 0.5000 0.5000
Sb1 0.2500 0.2500 0.2500
Sb2 0.2500 0.7500 0.7500
Sb3 0.7500 0.2500 0.7500
Sb4 0.7500 0.7500 0.2500
Au1 0.2500 0.2500 0.7500
Au2 0.2500 0.7500 0.2500
Au3 0.7500 0.2500 0.2500
Au4 0.7500 0.7500 0.7500